# 1
LaPm4Pr2Ho2: relaxed, PBE-GGA.

Properties
Its volume is 309.3 Å³/f.u. The symmetry is C2/m (12). For the energy of formation from the pure elements, the calculation gives 0.2 eV per formula unit. The value obtained for the total energy is -4.718 eV per atom.

a b c (Å): 5.165 8.171 8.149
angles (deg): 107.62 90.00 108.43
Atoms (fractional coordinates):
Pm: 0.444 0.888 0.668
Pm: 0.778 0.556 0.669
Pm: 0.556 0.112 0.332
Pm: 0.222 0.444 0.331
Pr: 0.112 0.224 0.667
Pr: 0.888 0.776 0.333
Ho: 0.669 0.337 0.000
Ho: 0.331 0.663 0.000
La: 0.000 0.000 0.000


# 2
La2Pm2PrHo: relaxed, PBE-GGA.

Properties
Its volume is 209.3 Å³/f.u. The symmetry is Pmc2_1 (26). For the energy of formation from the pure elements, the calculation gives 0.3 eV per formula unit. The value obtained for the total energy is -4.732 eV per atom.

a b c (Å): 5.805 7.152 10.084
angles (deg): 90.00 90.00 90.00
Atoms (fractional coordinates):
Pm: 0.000 0.757 0.166
Pm: 0.500 0.258 0.332
Pm: 0.500 0.758 0.668
Pm: 0.000 0.257 0.834
La: 0.000 0.758 0.830
La: 0.500 0.008 0.000
La: 0.500 0.508 0.000
La: 0.000 0.258 0.170
Ho: 0.500 0.758 0.337
Ho: 0.500 0.258 0.663
Pr: 0.000 0.508 0.500
Pr: 0.000 0.008 0.500


# 3
La2PmPr6Ho: relaxed, PBE-GGA.

Properties
Its volume is 358.9 Å³/f.u. The symmetry is C2/c (15). For the energy of formation from the pure elements, the calculation gives 1.1 eV per formula unit. The value obtained for the total energy is -4.679 eV per atom.

a b c (Å): 10.180 8.998 8.998
angles (deg): 117.81 95.17 95.17
Atoms (fractional coordinates):
Pr: 0.555 0.742 0.120
Pr: 0.055 0.120 0.742
Pr: 0.445 0.258 0.880
Pr: 0.811 0.422 0.984
Pr: 0.380 0.502 0.298
Pr: 0.311 0.984 0.422
Pr: 0.120 0.702 0.498
Pr: 0.880 0.298 0.502
Pr: 0.620 0.498 0.702
Pr: 0.689 0.016 0.578
Pr: 0.189 0.578 0.016
Pr: 0.945 0.880 0.258
La: 0.459 0.806 0.710
La: 0.959 0.710 0.806
La: 0.041 0.290 0.194
La: 0.541 0.194 0.290
Pm: 0.250 0.987 0.013
Pm: 0.750 0.013 0.987
Ho: 0.250 0.406 0.594
Ho: 0.750 0.594 0.406


# 4
LaPm2PrHo4: relaxed, PBE-GGA.

Properties
Its volume is 265.7 Å³/f.u. The symmetry is P-1 (2). For the energy of formation from the pure elements, the calculation gives 0.1 eV per formula unit. The value obtained for the total energy is -4.673 eV per atom.

a b c (Å): 10.324 10.039 12.394
angles (deg): 144.03 114.58 90.07
Atoms (fractional coordinates):
Ho: 0.749 0.253 0.001
Ho: 0.749 0.749 0.001
Ho: 0.749 0.749 0.497
Ho: 0.749 0.245 0.497
Ho: 0.251 0.251 0.503
Ho: 0.251 0.251 0.999
Ho: 0.251 0.747 0.999
Ho: 0.251 0.755 0.503
Pm: 0.500 0.500 0.000
Pm: 0.500 0.000 0.500
Pm: 0.500 0.000 0.000
Pm: 0.000 0.000 0.500
La: 0.500 0.500 0.500
La: 0.000 0.000 0.000
Pr: 0.000 0.500 0.000
Pr: 0.000 0.500 0.500


# 5
LaPmPr2Ho5: relaxed, PBE-GGA.

Properties
Its volume is 299.9 Å³/f.u. The symmetry is I4/mcm (140). For the energy of formation from the pure elements, the calculation gives 2.2 eV per formula unit. The value obtained for the total energy is -4.440 eV per atom.

a b c (Å): 8.720 8.720 10.012
angles (deg): 115.82 115.82 90.00
Atoms (fractional coordinates):
Ho: 0.154 0.071 0.724
Ho: 0.929 0.429 0.276
Ho: 0.000 0.000 0.000
Ho: 0.571 0.654 0.724
Ho: 0.429 0.346 0.276
Ho: 0.346 0.846 0.276
Ho: 0.846 0.929 0.276
Ho: 0.071 0.571 0.724
Ho: 0.500 0.500 0.000
Ho: 0.654 0.154 0.724
Pr: 0.881 0.619 0.000
Pr: 0.619 0.119 0.000
Pr: 0.381 0.881 0.000
Pr: 0.119 0.381 0.000
Pm: 0.250 0.250 0.500
Pm: 0.750 0.750 0.500
La: 0.250 0.750 0.500
La: 0.750 0.250 0.500


# 6
La4PmPrHo2: relaxed, PBE-GGA.

Properties
Its volume is 279.0 Å³/f.u. The symmetry is P2/m (10). For the energy of formation from the pure elements, the calculation gives 0.1 eV per formula unit. The value obtained for the total energy is -4.786 eV per atom.

a b c (Å): 3.686 12.055 6.379
angles (deg): 79.80 90.00 90.00
Atoms (fractional coordinates):
Ho: 0.000 0.000 0.000
Ho: 0.500 0.000 0.500
Pm: 0.000 0.500 0.500
La: 0.000 0.755 0.749
La: 0.000 0.245 0.251
La: 0.500 0.245 0.749
La: 0.500 0.755 0.251
Pr: 0.500 0.500 0.000


# 7
LaPm2PrHo5: relaxed, PBE-GGA.

Properties
Its volume is 298.9 Å³/f.u. The symmetry is I4/mcm (140). For the energy of formation from the pure elements, the calculation gives 2.2 eV per formula unit. The value obtained for the total energy is -4.437 eV per atom.

a b c (Å): 8.757 8.757 9.955
angles (deg): 116.09 116.09 90.00
Atoms (fractional coordinates):
Ho: 0.500 0.500 0.000
Ho: 0.572 0.658 0.730
Ho: 0.928 0.428 0.270
Ho: 0.658 0.158 0.730
Ho: 0.428 0.342 0.270
Ho: 0.342 0.842 0.270
Ho: 0.000 0.000 0.000
Ho: 0.072 0.572 0.730
Ho: 0.158 0.072 0.730
Ho: 0.842 0.928 0.270
Pm: 0.617 0.117 0.000
Pm: 0.383 0.883 0.000
Pm: 0.117 0.383 0.000
Pm: 0.883 0.617 0.000
La: 0.750 0.250 0.500
La: 0.250 0.750 0.500
Pr: 0.250 0.250 0.500
Pr: 0.750 0.750 0.500


# 8
LaPmPr2Ho2: relaxed, PBE-GGA.

Properties
Its volume is 206.9 Å³/f.u. The symmetry is Pmc2_1 (26). For the energy of formation from the pure elements, the calculation gives 0.4 eV per formula unit. The value obtained for the total energy is -4.661 eV per atom.

a b c (Å): 5.700 6.990 10.387
angles (deg): 90.00 90.00 90.00
Atoms (fractional coordinates):
Pr: 0.000 0.819 0.804
Pr: 0.500 0.559 0.975
Pr: 0.500 0.059 0.025
Pr: 0.000 0.319 0.196
Ho: 0.000 0.311 0.870
Ho: 0.000 0.811 0.130
Ho: 0.500 0.204 0.370
Ho: 0.500 0.704 0.630
La: 0.500 0.193 0.694
La: 0.500 0.693 0.306
Pm: 0.000 0.959 0.476
Pm: 0.000 0.459 0.524


Q: Number 3 is which compound?
A: La2PmPr6Ho


Q: volume of number 5 (LaPmPr2Ho5)?
A: 299.9 Å³/f.u.